Computed, not measured: a relaxed BeNb2Bi crystal at the PBE level of DFT.

DFT total energy	-25.55	eV per formula unit

abc: 4.6880 4.6880 4.6880
angles: 60.00 60.00 60.00
Closest atoms and distances in Å follow each position.
Positions (direct):
Be  0.2500  0.2500  0.2500  4 Bi 2.87, 4 Nb 2.87
Bi  0.5000  0.5000  0.5000  4 Be 2.87, 4 Nb 2.87
Nb  0.0000  0.0000  0.0000  4 Nb 2.87, 4 Be 2.87
Nb  0.7500  0.7500  0.7500  4 Nb 2.87, 4 Bi 2.87

Computed, not measured: a relaxed BeNbBi crystal at the PBE level of DFT.

E above lowest polymorph	0.69	eV per formula unit

abc: 4.5744 4.5744 4.5744
angles: 60.00 60.00 60.00
Closest atoms and distances in Å follow each position.
Positions (direct):
Be  0.2500  0.2500  0.2500  4 Nb 2.80
Bi  0.7500  0.7500  0.7500  4 Nb 2.80
Nb  0.0000  0.0000  0.0000  4 Be 2.80, 4 Bi 2.80

Computed, not measured: a relaxed BeNbBi crystal at the PBE level of DFT.

E above lowest polymorph	0.00	eV per formula unit

abc: 4.3541 4.3541 4.3541
angles: 60.00 60.00 60.00
Closest atoms and distances in Å follow each position.
Positions (direct):
Be  0.0000  0.0000  0.0000  4 Nb 2.67, 4 Bi 2.67
Bi  0.2500  0.2500  0.2500  4 Be 2.67
Nb  0.7500  0.7500  0.7500  4 Be 2.67

Computed, not measured: a relaxed Be5Nb2Bi crystal at the PBE level of DFT.

DFT total energy	-39.88	eV per formula unit

abc: 8.4464 8.4464 8.4464
angles: 155.36 154.23 35.95
Closest atoms and distances in Å follow each position.
Positions (direct):
Be  0.4680  0.4680  0.0000  2 Be 2.01
Be  0.0504  0.8060  0.2443  3 Be 1.84-1.96
Be  0.8735  0.3735  0.5000  6 Be 2.30-2.42
Be  0.4125  0.9125  0.5000  4 Be 1.96-2.01
Be  0.5617  0.8060  0.7557  3 Be 1.84-1.96
Bi  0.6263  0.6263  0.0000  1 Be 2.54
Nb  0.0037  0.0037  0.0000  6 Be 2.39-2.67
Nb  0.2226  0.2226  0.0000  4 Be 2.44

Computed, not measured: a relaxed BeNbBiTe crystal at the PBE level of DFT.

E above lowest polymorph	0.73	eV per formula unit

abc: 4.9788 4.9788 4.9788
angles: 60.00 60.00 60.00
Closest atoms and distances in Å follow each position.
Positions (direct):
Be  0.7500  0.7500  0.7500  4 Nb 3.05, 4 Bi 3.05
Bi  0.0000  0.0000  0.0000  4 Te 3.05, 4 Be 3.05
Nb  0.5000  0.5000  0.5000  4 Be 3.05, 4 Te 3.05
Te  0.2500  0.2500  0.2500  4 Bi 3.05, 4 Nb 3.05

Computed, not measured: a relaxed BeNbBiTe crystal at the PBE level of DFT.

E above lowest polymorph	0.00	eV per formula unit

abc: 4.9426 4.9426 4.9426
angles: 60.00 60.00 60.00
Closest atoms and distances in Å follow each position.
Positions (direct):
Be  0.7500  0.7500  0.7500  4 Bi 3.03, 4 Te 3.03
Bi  0.5000  0.5000  0.5000  4 Nb 3.03, 4 Be 3.03
Nb  0.2500  0.2500  0.2500  4 Te 3.03, 4 Bi 3.03
Te  0.0000  0.0000  0.0000  4 Nb 3.03, 4 Be 3.03

Computed, not measured: a relaxed BeNiBi crystal at the PBE level of DFT.

E above lowest polymorph	0.00	eV per formula unit

abc: 4.1501 4.1501 4.1501
angles: 60.00 60.00 60.00
Closest atoms and distances in Å follow each position.
Positions (direct):
Be  0.2500  0.2500  0.2500  4 Ni 2.54
Bi  0.7500  0.7500  0.7500  4 Ni 2.54
Ni  0.0000  0.0000  0.0000  4 Be 2.54, 4 Bi 2.54

Computed, not measured: a relaxed BeNiBi2 crystal at the PBE level of DFT.

DFT total energy	-14.21	eV per formula unit

abc: 4.9559 4.9559 4.9559
angles: 60.00 60.00 60.00
Closest atoms and distances in Å follow each position.
Positions (direct):
Be  0.2500  0.2500  0.2500  4 Bi 3.03, 4 Ni 3.03
Bi  0.5000  0.5000  0.5000  4 Be 3.03, 4 Bi 3.03
Bi  0.7500  0.7500  0.7500  4 Bi 3.03, 4 Ni 3.03
Ni  0.0000  0.0000  0.0000  4 Be 3.03, 4 Bi 3.03

Computed, not measured: a relaxed Be2NiBi crystal at the PBE level of DFT.

DFT total energy	-14.51	eV per formula unit

abc: 4.3687 4.3687 4.3687
angles: 60.00 60.00 60.00
Closest atoms and distances in Å follow each position.
Positions (direct):
Be  0.0000  0.0000  0.0000  4 Be 2.68, 4 Ni 2.68
Be  0.7500  0.7500  0.7500  4 Be 2.68, 4 Bi 2.68
Bi  0.5000  0.5000  0.5000  4 Ni 2.68, 4 Be 2.68
Ni  0.2500  0.2500  0.2500  4 Bi 2.68, 4 Be 2.68

Computed, not measured: a relaxed BeNiBiPt crystal at the PBE level of DFT.

E above lowest polymorph	0.01	eV per formula unit

abc: 4.4430 4.4430 4.4430
angles: 60.00 60.00 60.00
Closest atoms and distances in Å follow each position.
Positions (direct):
Be  0.2500  0.2500  0.2500  4 Bi 2.72, 4 Pt 2.72
Bi  0.0000  0.0000  0.0000  4 Ni 2.72, 4 Be 2.72
Ni  0.7500  0.7500  0.7500  4 Bi 2.72, 4 Pt 2.72
Pt  0.5000  0.5000  0.5000  4 Ni 2.72, 4 Be 2.72

Computed, not measured: a relaxed BeNiBiPt crystal at the PBE level of DFT.

E above lowest polymorph	0.00	eV per formula unit

abc: 4.4772 4.4772 4.4772
angles: 60.00 60.00 60.00
Closest atoms and distances in Å follow each position.
Positions (direct):
Be  0.5000  0.5000  0.5000  4 Ni 2.74, 4 Pt 2.74
Bi  0.0000  0.0000  0.0000  4 Ni 2.74, 4 Pt 2.74
Ni  0.7500  0.7500  0.7500  4 Bi 2.74, 4 Be 2.74
Pt  0.2500  0.2500  0.2500  4 Bi 2.74, 4 Be 2.74

Computed, not measured: a relaxed TaBeNiBi crystal at the PBE level of DFT.

E above lowest polymorph	0.00	eV per formula unit

abc: 4.5312 4.5312 4.5312
angles: 60.00 60.00 60.00
Closest atoms and distances in Å follow each position.
Positions (direct):
Be  0.2500  0.2500  0.2500  4 Ta 2.77, 4 Bi 2.77
Bi  0.0000  0.0000  0.0000  4 Ni 2.77, 4 Be 2.77
Ni  0.7500  0.7500  0.7500  4 Ta 2.77, 4 Bi 2.77
Ta  0.5000  0.5000  0.5000  4 Ni 2.77, 4 Be 2.77

Computed, not measured: a relaxed TaBeNiBi crystal at the PBE level of DFT.

E above lowest polymorph	0.27	eV per formula unit

abc: 4.5536 4.5536 4.5536
angles: 60.00 60.00 60.00
Closest atoms and distances in Å follow each position.
Positions (direct):
Be  0.5000  0.5000  0.5000  4 Ta 2.79, 4 Ni 2.79
Bi  0.0000  0.0000  0.0000  4 Ta 2.79, 4 Ni 2.79
Ni  0.7500  0.7500  0.7500  4 Be 2.79, 4 Bi 2.79
Ta  0.2500  0.2500  0.2500  4 Bi 2.79, 4 Be 2.79

Computed, not measured: a relaxed BeZnNiBi crystal at the PBE level of DFT.

E above lowest polymorph	0.00	eV per formula unit

abc: 4.5023 4.5023 4.5023
angles: 60.00 60.00 60.00
Closest atoms and distances in Å follow each position.
Positions (direct):
Be  0.2500  0.2500  0.2500  4 Zn 2.76, 4 Bi 2.76
Bi  0.0000  0.0000  0.0000  4 Ni 2.76, 4 Be 2.76
Ni  0.7500  0.7500  0.7500  4 Bi 2.76, 4 Zn 2.76
Zn  0.5000  0.5000  0.5000  4 Be 2.76, 4 Ni 2.76

Computed, not measured: a relaxed BeZnNiBi crystal at the PBE level of DFT.

E above lowest polymorph	0.24	eV per formula unit

abc: 4.5186 4.5186 4.5186
angles: 60.00 60.00 60.00
Closest atoms and distances in Å follow each position.
Positions (direct):
Be  0.5000  0.5000  0.5000  4 Bi 2.77, 4 Ni 2.77
Bi  0.2500  0.2500  0.2500  4 Be 2.77, 4 Zn 2.77
Ni  0.7500  0.7500  0.7500  4 Zn 2.77, 4 Be 2.77
Zn  0.0000  0.0000  0.0000  4 Ni 2.77, 4 Bi 2.77

Computed, not measured: a relaxed BeZnNiBi crystal at the PBE level of DFT.

E above lowest polymorph	0.28	eV per formula unit

abc: 4.5338 4.5338 4.5338
angles: 60.00 60.00 60.00
Closest atoms and distances in Å follow each position.
Positions (direct):
Be  0.5000  0.5000  0.5000  4 Ni 2.78, 4 Zn 2.78
Bi  0.0000  0.0000  0.0000  4 Zn 2.78, 4 Ni 2.78
Ni  0.2500  0.2500  0.2500  4 Be 2.78, 4 Bi 2.78
Zn  0.7500  0.7500  0.7500  4 Bi 2.78, 4 Be 2.78

Record-wise M_tot values, in μB per formula unit: 0.000; 1.466; 1.916; 0.006; 1.886; 1.545; 0.001; 0.002; 0.000; 0.001; 0.001; 0.001; 0.475; 0.003; 0.013; 0.001